Computed, not measured: crystalline InPb2Au at its relaxed geometry at the GGA-PBE level of DFT.

## Properties
- M_tot: 0.0000 μB per atom
- D(E_F): 5.23 states/eV/cell
- E_form: -0.061 eV/atom

The structure in CIF format:
```
data_InPb2Au
_space_group_name_H-M_alt 'P n m a'
_space_group_IT_number 62
_space_group_name_Hall '-P 2ac 2n'
_cell_length_a 7.164
_cell_length_b 9.364
_cell_length_c 6.554
_cell_angle_alpha 90.00
_cell_angle_beta 90.00
_cell_angle_gamma 90.00
loop_
_atom_site_label
_atom_site_type_symbol
_atom_site_fract_x
_atom_site_fract_y
_atom_site_fract_z
_atom_site_occupancy
In1 In 0.008 0.250 0.104 1
Pb1 Pb 0.202 0.056 0.655 1
Au1 Au 0.108 0.750 0.483 1
```